Compound: CsSc
Source: Alexandria via LeMat-Bulk
Functional: PBE
Structure: optimized geometry

extended XYZ file:
```
16
Lattice="7.390 0.000 0.000 0.000 7.688 0.000 0.000 0.000 11.927" Properties=species:S:1:pos:R:3 pbc="T T T"
Sc 3.298 0.622 9.567
Sc 4.092 4.466 8.324
Sc 6.083 5.252 5.451
Sc 1.307 1.408 0.512
Sc 5.002 2.436 11.415
Sc 6.993 3.222 2.361
Sc 0.397 7.066 3.603
Sc 2.388 6.280 6.476
Cs 7.097 6.820 8.847
Cs 5.317 1.295 6.380
Cs 3.988 0.868 2.883
Cs 3.402 4.712 3.081
Cs 1.622 2.549 5.547
Cs 2.073 5.139 11.511
Cs 5.768 6.393 0.417
Cs 0.293 2.976 9.044
```

Results
As for the density of states at the Fermi level: 32.9 states/eV/cell. The value obtained for the formation energy is 171 kJ/mol of formula units. As for the theoretical density: 3487 kg/m³. For the raw total energy, the calculation gives -2.71 eV/atom.